No. 1
Computed, not measured: a relaxed TiNi2Pt9 crystal at the PBE level of DFT.

```
12
Lattice="3.910 0.000 0.000 0.000 3.910 0.000 0.000 0.000 11.708" Properties=species:S:1:pos:R:3 pbc="T T T"
Ti 0.000 0.000 0.000
Ni 0.000 0.000 3.980
Ni 0.000 0.000 7.728
Pt 1.955 1.955 0.000
Pt 1.955 1.955 3.902
Pt 1.955 1.955 7.806
Pt 1.955 0.000 1.954
Pt 1.955 0.000 5.854
Pt 1.955 0.000 9.755
Pt 0.000 1.955 1.954
Pt 0.000 1.955 5.854
Pt 0.000 1.955 9.755
```

Summary:
E: -78.0 eV/cell
DFT formation energy: -346 meV/atom
Total magnetization: 2.481 μB/f.u.

No. 2
Computed, not measured: a relaxed TiNi2Pt5 crystal at the PBE level of DFT.

```
16
Lattice="-3.356 -0.493 1.845 2.463 -3.279 3.603 2.232 8.687 6.380" Properties=species:S:1:pos:R:3 pbc="T T T"
Ti 1.116 4.344 3.190
Ti 1.231 -1.640 1.802
Ni -0.207 2.164 4.243
Ni 1.545 2.751 7.586
Ni 0.871 6.559 7.377
Ni 0.468 -1.643 4.452
Pt -0.773 -0.075 2.614
Pt 2.112 4.990 9.214
Pt 1.047 0.578 6.100
Pt 0.291 4.337 5.729
Pt 4.085 3.201 8.286
Pt 0.609 2.207 1.698
Pt 2.893 4.995 6.597
Pt 1.801 0.414 3.386
Pt 2.347 2.704 4.992
Pt 0.000 0.000 0.000
```

Summary:
E: -106.4 eV/cell
DFT formation energy: -442 meV/atom
Total magnetization: 1.132 μB/f.u.
Distance to the lowest polymorph of the same formula: 0.00 eV/f.u.

Fermi-level density of states readings, ordered: 17.824 16.896 states/eV/cell